(1)
The following is a PBE calculation of Fe2Cl after structural relaxation, from the Alexandria database.

Unit cell a=4.810 b=4.810 c=4.810 alpha=110.52 beta=110.52 gamma=107.39
Positions (direct):
Fe 0.154 0.654 0.808
Fe 0.346 0.154 0.500
Fe 0.654 0.846 0.500
Fe 0.846 0.346 0.192
Cl 0.250 0.250 0.000
Cl 0.750 0.750 0.000

Summary:
- Magnetic moment: 5.71 μB/f.u.
- DOS(E_F): 5.82 states/eV/cell
- Formation energy from raw total energies: 0.655 eV per atom

(2)
The following is a PBE calculation of Fe4Cl3 after structural relaxation, from the Alexandria database.

Unit cell a=5.857 b=5.857 c=4.321 alpha=90.00 beta=90.00 gamma=120.00
Positions (direct):
Fe 0.000 0.000 0.242
Fe 0.000 0.000 0.758
Fe 0.333 0.667 0.000
Fe 0.667 0.333 0.000
Cl 0.000 0.500 0.500
Cl 0.500 0.000 0.500
Cl 0.500 0.500 0.500

Summary:
- Magnetic moment: 13.19 μB/f.u.
- DOS(E_F): 8.50 states/eV/cell
- Formation energy from raw total energies: 0.856 eV per atom

(3)
The following is a PBE calculation of Fe3Cl after structural relaxation, from the Alexandria database.

Unit cell a=2.957 b=2.957 c=6.554 alpha=90.00 beta=90.00 gamma=90.00
Positions (direct):
Fe 0.000 0.000 0.000
Fe 0.500 0.500 0.207
Fe 0.500 0.500 0.793
Cl 0.000 0.000 0.500

Summary:
- Magnetic moment: 8.53 μB/f.u.
- DOS(E_F): 3.34 states/eV/cell
- Formation energy from raw total energies: 0.274 eV per atom

(4)
The following is a PBE calculation of FeCl after structural relaxation, from the Alexandria database.

Unit cell a=7.098 b=7.098 c=3.288 alpha=90.00 beta=90.00 gamma=90.00
Positions (direct):
Fe 0.111 0.111 0.000
Fe 0.389 0.611 0.500
Fe 0.611 0.389 0.500
Fe 0.889 0.889 0.000
Cl 0.215 0.785 0.000
Cl 0.285 0.285 0.500
Cl 0.715 0.715 0.500
Cl 0.785 0.215 0.000

Summary:
- Magnetic moment: 3.02 μB/f.u.
- DOS(E_F): 7.44 states/eV/cell
- Formation energy from raw total energies: 0.031 eV per atom

(5)
The following is a PBE calculation of Fe3Cl after structural relaxation, from the Alexandria database.

Unit cell a=3.806 b=3.806 c=3.806 alpha=90.00 beta=90.00 gamma=90.00
Positions (direct):
Fe 0.000 0.000 0.500
Fe 0.000 0.500 0.000
Fe 0.500 0.000 0.000
Cl 0.500 0.500 0.500

Summary:
- Magnetic moment: 9.00 μB/f.u.
- DOS(E_F): 3.25 states/eV/cell
- Formation energy from raw total energies: 0.637 eV per atom

(6)
The following is a PBE calculation of Fe3Cl after structural relaxation, from the Alexandria database.

Unit cell a=3.043 b=2.925 c=6.666 alpha=90.00 beta=90.10 gamma=90.00
Positions (direct):
Fe 0.000 0.000 0.000
Fe 0.499 0.500 0.799
Fe 0.501 0.500 0.201
Cl 0.500 0.000 0.500

Summary:
- Magnetic moment: 8.50 μB/f.u.
- DOS(E_F): 2.63 states/eV/cell
- Formation energy from raw total energies: 0.153 eV per atom

(7)
The following is a PBE calculation of FeCl2 after structural relaxation, from the Alexandria database.

Unit cell a=8.549 b=8.549 c=5.142 alpha=90.00 beta=90.00 gamma=156.52
Positions (direct):
Fe 0.184 0.816 0.750
Fe 0.816 0.184 0.250
Cl 0.206 0.794 0.250
Cl 0.409 0.591 0.250
Cl 0.591 0.409 0.750
Cl 0.794 0.206 0.750

Summary:
- Magnetic moment: 4.00 μB/f.u.
- DOS(E_F): 8.53 states/eV/cell
- Formation energy from raw total energies: -0.627 eV per atom

(8)
The following is a PBE calculation of Fe2Cl after structural relaxation, from the Alexandria database.

Unit cell a=4.582 b=4.582 c=8.420 alpha=102.60 beta=102.60 gamma=38.36
Positions (direct):
Fe 0.049 0.049 0.353
Fe 0.342 0.342 0.421
Fe 0.658 0.658 0.579
Fe 0.951 0.951 0.647
Cl 0.325 0.325 0.813
Cl 0.675 0.675 0.187

Summary:
- Magnetic moment: 5.63 μB/f.u.
- DOS(E_F): 3.22 states/eV/cell
- Formation energy from raw total energies: 0.034 eV per atom

(9)
The following is a PBE calculation of Fe3Cl after structural relaxation, from the Alexandria database.

Unit cell a=4.096 b=5.018 c=7.917 alpha=90.00 beta=90.00 gamma=90.00
Positions (direct):
Fe 0.250 0.003 0.090
Fe 0.250 0.250 0.830
Fe 0.250 0.497 0.090
Fe 0.750 0.503 0.910
Fe 0.750 0.750 0.170
Fe 0.750 0.997 0.910
Cl 0.250 0.750 0.360
Cl 0.750 0.250 0.640

Summary:
- Magnetic moment: 8.57 μB/f.u.
- DOS(E_F): 4.90 states/eV/cell
- Formation energy from raw total energies: 0.320 eV per atom

(10)
The following is a PBE calculation of Fe3Cl after structural relaxation, from the Alexandria database.

Unit cell a=2.969 b=2.969 c=7.415 alpha=90.00 beta=90.00 gamma=120.00
Positions (direct):
Fe 0.000 0.000 0.000
Fe 0.667 0.333 0.239
Fe 0.667 0.333 0.761
Cl 0.000 0.000 0.500

Summary:
- Magnetic moment: 8.72 μB/f.u.
- DOS(E_F): 2.91 states/eV/cell
- Formation energy from raw total energies: 0.286 eV per atom

(11)
The following is a PBE calculation of FeCl after structural relaxation, from the Alexandria database.

Unit cell a=4.549 b=4.549 c=4.549 alpha=60.00 beta=60.00 gamma=60.00
Positions (direct):
Fe 0.125 0.125 0.125
Fe 0.875 0.875 0.875
Cl 0.375 0.375 0.375
Cl 0.625 0.625 0.625

Summary:
- Magnetic moment: 3.11 μB/f.u.
- DOS(E_F): 2.81 states/eV/cell
- Formation energy from raw total energies: 0.656 eV per atom

(12)
The following is a PBE calculation of Fe3Cl after structural relaxation, from the Alexandria database.

Unit cell a=4.729 b=4.729 c=4.729 alpha=90.00 beta=90.00 gamma=90.00
Positions (direct):
Fe 0.000 0.250 0.500
Fe 0.000 0.750 0.500
Fe 0.250 0.500 0.000
Fe 0.500 0.000 0.250
Fe 0.500 0.000 0.750
Fe 0.750 0.500 0.000
Cl 0.000 0.000 0.000
Cl 0.500 0.500 0.500

Summary:
- Magnetic moment: 8.10 μB/f.u.
- DOS(E_F): 6.65 states/eV/cell
- Formation energy from raw total energies: 0.683 eV per atom

(13)
The following is a PBE calculation of Fe4Cl3 after structural relaxation, from the Alexandria database.

Unit cell a=12.411 b=12.411 c=12.411 alpha=165.50 beta=165.50 gamma=20.56
Positions (direct):
Fe 0.077 0.077 0.000
Fe 0.375 0.375 0.000
Fe 0.625 0.625 0.000
Fe 0.923 0.923 0.000
Cl 0.181 0.181 0.000
Cl 0.500 0.500 0.000
Cl 0.819 0.819 0.000

Summary:
- Magnetic moment: 11.97 μB/f.u.
- DOS(E_F): 4.76 states/eV/cell
- Formation energy from raw total energies: 0.136 eV per atom

(14)
The following is a PBE calculation of Fe2Cl after structural relaxation, from the Alexandria database.

Unit cell a=2.842 b=6.844 c=4.257 alpha=90.00 beta=90.00 gamma=90.00
Positions (direct):
Fe 0.012 0.187 0.000
Fe 0.488 0.687 0.500
Fe 0.512 0.313 0.500
Fe 0.988 0.813 0.000
Cl 0.000 0.000 0.500
Cl 0.500 0.500 0.000

Summary:
- Magnetic moment: 5.38 μB/f.u.
- DOS(E_F): 3.20 states/eV/cell
- Formation energy from raw total energies: 0.548 eV per atom

(15)
The following is a PBE calculation of Fe3Cl after structural relaxation, from the Alexandria database.

Unit cell a=7.688 b=7.688 c=7.688 alpha=21.81 beta=21.81 gamma=21.81
Positions (direct):
Fe 0.000 0.000 0.000
Fe 0.253 0.253 0.253
Fe 0.747 0.747 0.747
Cl 0.500 0.500 0.500

Summary:
- Magnetic moment: 8.26 μB/f.u.
- DOS(E_F): 4.21 states/eV/cell
- Formation energy from raw total energies: 0.278 eV per atom

(16)
The following is a PBE calculation of FeCl after structural relaxation, from the Alexandria database.

Unit cell a=10.557 b=10.557 c=3.349 alpha=90.00 beta=90.00 gamma=90.00
Positions (direct):
Fe 0.087 0.411 0.000
Fe 0.088 0.589 0.500
Fe 0.411 0.088 0.500
Fe 0.411 0.913 0.000
Fe 0.589 0.087 0.000
Fe 0.589 0.912 0.500
Fe 0.912 0.411 0.500
Fe 0.913 0.589 0.000
Cl 0.079 0.752 0.000
Cl 0.248 0.079 0.000
Cl 0.251 0.424 0.500
Cl 0.424 0.749 0.500
Cl 0.576 0.251 0.500
Cl 0.749 0.576 0.500
Cl 0.752 0.921 0.000
Cl 0.921 0.248 0.000

Summary:
- Magnetic moment: 3.15 μB/f.u.
- DOS(E_F): 14.41 states/eV/cell
- Formation energy from raw total energies: -0.359 eV per atom

(17)
The following is a PBE calculation of FeCl after structural relaxation, from the Alexandria database.

Unit cell a=7.542 b=7.542 c=7.542 alpha=92.47 beta=92.47 gamma=156.03
Positions (direct):
Fe 0.177 0.300 0.477
Fe 0.300 0.823 0.124
Fe 0.700 0.177 0.876
Fe 0.823 0.700 0.523
Cl 0.251 0.511 0.762
Cl 0.489 0.251 0.741
Cl 0.511 0.749 0.259
Cl 0.749 0.489 0.238

Summary:
- Magnetic moment: 3.09 μB/f.u.
- DOS(E_F): 3.66 states/eV/cell
- Formation energy from raw total energies: -0.144 eV per atom

(18)
The following is a PBE calculation of FeCl2 after structural relaxation, from the Alexandria database.

Unit cell a=3.403 b=3.403 c=6.009 alpha=90.77 beta=90.77 gamma=60.00
Positions (direct):
Fe 0.000 0.000 0.000
Cl 0.330 0.330 0.799
Cl 0.670 0.670 0.201

Summary:
- Magnetic moment: 0.00 μB/f.u.
- DOS(E_F): 0.00 states/eV/cell
- Formation energy from raw total energies: -0.415 eV per atom

(19)
The following is a PBE calculation of FeCl after structural relaxation, from the Alexandria database.

Unit cell a=4.927 b=4.927 c=6.913 alpha=90.00 beta=90.00 gamma=120.00
Positions (direct):
Fe 0.333 0.667 0.084
Fe 0.333 0.667 0.416
Fe 0.667 0.333 0.584
Fe 0.667 0.333 0.916
Cl 0.000 0.000 0.250
Cl 0.000 0.000 0.750
Cl 0.333 0.667 0.750
Cl 0.667 0.333 0.250

Summary:
- Magnetic moment: 3.14 μB/f.u.
- DOS(E_F): 7.00 states/eV/cell
- Formation energy from raw total energies: 0.666 eV per atom

(20)
The following is a PBE calculation of Fe2Cl after structural relaxation, from the Alexandria database.

Unit cell a=11.245 b=11.245 c=11.245 alpha=165.17 beta=165.17 gamma=21.03
Positions (direct):
Fe 0.292 0.542 0.750
Fe 0.458 0.708 0.750
Fe 0.542 0.292 0.250
Fe 0.708 0.458 0.250
Cl 0.125 0.875 0.250
Cl 0.875 0.125 0.750

Summary:
- Magnetic moment: 5.96 μB/f.u.
- DOS(E_F): 4.63 states/eV/cell
- Formation energy from raw total energies: 0.498 eV per atom